A relaxed SrPbN crystal. Source: Alexandria, functional PBE.

Output
Uncorrected energy in eV per cell: -59.4
Distance to the lowest polymorph of the same formula in meV per atom: 0

Unit cell a=6.845 b=4.779 c=9.690 alpha=90.00 beta=91.92 gamma=90.00
Space group C2/m (No. 12)
One atom of each set of equivalent atoms:
Sr 0.197 0.000 0.148
Pb 0.190 0.000 0.591
N 0.000 0.363 0.000